No. 1
A relaxed structure of La6Mg3Hg, computed with GGA-PBE.

Properties
**Size of the total moment**: 0.00 μB per cell
**VASP energy**: -72.10 eV for the cell shown
**Calculated density**: 5.77 g cm⁻³
**Energy of formation from the pure elements**: -0.14 eV/atom

```
data_La6Mg3Hg
_chemical_formula_sum 'La12 Mg6 Hg2'
_cell_length_a 9.663
_cell_length_b 5.641
_cell_length_c 12.399
_cell_angle_alpha 90.00
_cell_angle_beta 109.53
_cell_angle_gamma 90.00
_symmetry_space_group_name_H-M 'P 1 21/m 1'
_symmetry_Int_Tables_number 11
loop_
_symmetry_equiv_pos_as_xyz
'x,y,z'
'-x,-y,-z'
'-x,y+1/2,-z'
'x,-y+1/2,z'
loop_
_atom_site_label
_atom_site_fract_x
_atom_site_fract_y
_atom_site_fract_z
La1 0.044 0.250 0.414
La2 0.166 0.750 0.177
La3 0.247 0.250 0.000
La4 0.346 0.750 0.798
La5 0.361 0.250 0.350
La6 0.423 0.250 0.635
Mg1 0.035 0.750 0.876
Mg2 0.109 0.250 0.714
Mg3 0.264 0.750 0.481
Hg1 0.454 0.750 0.082
```

No. 2
A relaxed structure of LaMg2Hg, computed with GGA-PBE.

Properties
**Size of the total moment**: 0.00 μB per cell
**VASP energy**: -26.02 eV for the cell shown
**Calculated density**: 5.91 g cm⁻³
**Energy of formation from the pure elements**: -0.06 eV/atom

```
data_LaMg2Hg
_chemical_formula_sum 'La3 Mg6 Hg3'
_cell_length_a 3.5355
_cell_length_b 3.5355
_cell_length_c 30.1958
_cell_angle_alpha 90.00
_cell_angle_beta 90.00
_cell_angle_gamma 120.00
_symmetry_space_group_name_H-M 'R -3 m'
_symmetry_Int_Tables_number 166
_symmetry_space_group_name_Hall '-R 3 2"'
loop_
_atom_site_label
_atom_site_fract_x
_atom_site_fract_y
_atom_site_fract_z
La1 0.0000 0.0000 0.0000
Mg1 0.0000 0.0000 0.2374
Hg1 0.0000 0.0000 0.5000
```

No. 3
A relaxed structure of La5Mg2Hg, computed with GGA-PBE.

Properties
**Size of the total moment**: 0.00 μB per cell
**VASP energy**: -58.31 eV for the cell shown
**Calculated density**: 6.14 g cm⁻³
**Energy of formation from the pure elements**: -0.13 eV/atom

```
data_La5Mg2Hg
_chemical_formula_sum 'La10 Mg4 Hg2'
_cell_length_a 7.895
_cell_length_b 7.895
_cell_length_c 8.186
_cell_angle_alpha 90.00
_cell_angle_beta 90.00
_cell_angle_gamma 90.00
_symmetry_space_group_name_H-M 'I 4 m m'
_symmetry_Int_Tables_number 107
_symmetry_space_group_name_Hall 'I 4 -2'
loop_
_atom_site_label
_atom_site_fract_x
_atom_site_fract_y
_atom_site_fract_z
La1 0.000 0.000 0.000
La2 0.250 0.250 0.249
Mg1 0.000 0.500 0.499
Hg1 0.000 0.000 0.499
```

No. 4
A relaxed structure of LaMg2Hg2, computed with GGA-PBE.

Properties
**Size of the total moment**: 0.00 μB per cell
**VASP energy**: -19.84 eV for the cell shown
**Calculated density**: 7.77 g cm⁻³
**Energy of formation from the pure elements**: -0.24 eV/atom
**Energy above the lowest structure with this stoichiometry**: 0.123 eV per atom

```
data_LaMg2Hg2
_chemical_formula_sum 'La2 Mg4 Hg4'
_cell_length_a 8.637
_cell_length_b 8.637
_cell_length_c 3.372
_cell_angle_alpha 90.00
_cell_angle_beta 90.00
_cell_angle_gamma 90.00
_symmetry_space_group_name_H-M 'P 4/m b m'
_symmetry_Int_Tables_number 127
_symmetry_space_group_name_Hall '-P 4 2ab'
loop_
_atom_site_label
_atom_site_fract_x
_atom_site_fract_y
_atom_site_fract_z
La1 0.000 0.000 0.000
Mg1 0.156 0.344 0.500
Hg1 0.139 0.639 0.000
```

No. 5
A relaxed structure of LaMgHg, computed with GGA-PBE.

Properties
**Size of the total moment**: 0.00 μB per cell
**VASP energy**: -30.46 eV for the cell shown
**Calculated density**: 6.50 g cm⁻³
**Energy of formation from the pure elements**: -0.26 eV/atom

```
data_LaMgHg
_chemical_formula_sum 'La4 Mg4 Hg4'
_cell_length_a 7.189
_cell_length_b 7.189
_cell_length_c 7.189
_cell_angle_alpha 90.00
_cell_angle_beta 90.00
_cell_angle_gamma 90.00
_symmetry_space_group_name_H-M 'F -4 3 m'
_symmetry_Int_Tables_number 216
_symmetry_space_group_name_Hall 'F -4 2 3'
loop_
_atom_site_label
_atom_site_fract_x
_atom_site_fract_y
_atom_site_fract_z
La1 0.000 0.000 0.000
Mg1 0.000 0.000 0.500
Hg1 0.250 0.250 0.250
```

No. 6
A relaxed structure of La5MgHg, computed with GGA-PBE.

Properties
**Size of the total moment**: 0.00 μB per cell
**VASP energy**: -107.76 eV for the cell shown
**Calculated density**: 6.56 g cm⁻³
**Energy of formation from the pure elements**: -0.06 eV/atom

```
data_La5MgHg
_chemical_formula_sum 'La20 Mg4 Hg4'
_cell_length_a 8.631
_cell_length_b 8.674
_cell_length_c 12.817
_cell_angle_alpha 90.00
_cell_angle_beta 103.86
_cell_angle_gamma 90.00
_symmetry_space_group_name_H-M 'C 1 2/c 1'
_symmetry_Int_Tables_number 15
loop_
_symmetry_equiv_pos_as_xyz
'x,y,z'
'-x,-y,-z'
'-x,y,-z+1/2'
'x,-y,z+1/2'
'x+1/2,y+1/2,z'
'-x+1/2,-y+1/2,-z'
'-x+1/2,y+1/2,-z+1/2'
'x+1/2,-y+1/2,z+1/2'
loop_
_atom_site_label
_atom_site_fract_x
_atom_site_fract_y
_atom_site_fract_z
La1 0.000 0.013 0.250
La2 0.143 0.364 0.062
La3 0.215 0.306 0.363
Mg1 0.000 0.378 0.750
Hg1 0.000 0.000 0.000
```

No. 7
A relaxed structure of LaMgHg3, computed with GGA-PBE.

Properties
**Size of the total moment**: 0.14 μB per cell
**VASP energy**: -5.26 eV for the cell shown
**Calculated density**: 5.63 g cm⁻³
**Energy of formation from the pure elements**: 0.43 eV/atom
**Energy above the lowest structure with this stoichiometry**: 0.704 eV per atom

```
data_LaMgHg3
_chemical_formula_sum 'La1 Mg1 Hg3'
_cell_length_a 6.086
_cell_length_b 6.086
_cell_length_c 6.086
_cell_angle_alpha 90.00
_cell_angle_beta 90.00
_cell_angle_gamma 90.00
_symmetry_space_group_name_H-M 'P m -3 m'
_symmetry_Int_Tables_number 221
_symmetry_space_group_name_Hall '-P 4 2 3'
loop_
_atom_site_label
_atom_site_fract_x
_atom_site_fract_y
_atom_site_fract_z
La1 0.000 0.000 0.000
Mg1 0.500 0.500 0.500
Hg1 0.000 0.000 0.500
```

No. 8
A relaxed structure of LaMgHg3, computed with GGA-PBE.

Properties
**Size of the total moment**: 0.00 μB per cell
**VASP energy**: -7.92 eV for the cell shown
**Calculated density**: 9.01 g cm⁻³
**Energy of formation from the pure elements**: -0.10 eV/atom
**Energy above the lowest structure with this stoichiometry**: 0.174 eV per atom

```
data_LaMgHg3
_chemical_formula_sum 'La1 Mg1 Hg3'
_cell_length_a 5.204
_cell_length_b 5.204
_cell_length_c 5.204
_cell_angle_alpha 90.00
_cell_angle_beta 90.00
_cell_angle_gamma 90.00
_symmetry_space_group_name_H-M 'P m -3 m'
_symmetry_Int_Tables_number 221
_symmetry_space_group_name_Hall '-P 4 2 3'
loop_
_atom_site_label
_atom_site_fract_x
_atom_site_fract_y
_atom_site_fract_z
La1 0.000 0.000 0.000
Mg1 0.500 0.500 0.500
Hg1 0.000 0.500 0.500
```